! Pm7YHo4 PBE optimized geometry; values from VASP
! Space group ... C2/m, No. 12
! Energy of formation ... 0.263 eV/atom
! D(E_F) ... 17.6 states/eV/cell
! Electronic total energy ... -0.168 Ha/atom
&SYSTEM
  ibrav = 0, nat = 12, ntyp = 3
/
ATOMIC_SPECIES
Pm 145.00 Pm.upf
Ho 164.93 Ho.upf
Y 88.91 Y.upf
CELL_PARAMETERS angstrom
-5.062 -0.651 -3.159
-1.732 -11.513 -0.556
-5.750 -0.071 3.526
ATOMIC_POSITIONS crystal
Pm 0.212 0.079 0.497
Pm 0.631 0.498 0.240
Pm 0.060 0.678 0.202
Pm 0.788 0.921 0.503
Pm 0.500 0.000 0.000
Pm 0.369 0.502 0.760
Pm 0.940 0.322 0.798
Ho 0.640 0.224 0.495
Ho 0.754 0.681 0.811
Ho 0.246 0.319 0.189
Ho 0.360 0.776 0.505
Y 0.000 0.000 0.000

***

! TbScNiPt PBE optimized geometry; values from VASP
! Space group ... F-43m, No. 216
! Energy of formation ... -0.798 eV/atom
! D(E_F) ... 3.9 states/eV/cell
! Electronic total energy ... -0.239 Ha/atom
&SYSTEM
  ibrav = 0, nat = 4, ntyp = 4
/
ATOMIC_SPECIES
Sc 44.96 Sc.upf
Tb 158.93 Tb.upf
Ni 58.69 Ni.upf
Pt 195.08 Pt.upf
CELL_PARAMETERS angstrom
4.755 0.000 0.000
2.377 4.118 0.000
2.377 1.373 3.882
ATOMIC_POSITIONS crystal
Sc 0.000 0.000 0.000
Tb 0.500 0.500 0.500
Ni 0.250 0.250 0.250
Pt 0.750 0.750 0.750

***

! Cs3In4Pb2 PBE optimized geometry; values from VASP
! Space group ... P-1, No. 2
! Energy of formation ... -0.079 eV/atom
! D(E_F) ... 5.3 states/eV/cell
! Electronic total energy ... -0.088 Ha/atom
&SYSTEM
  ibrav = 0, nat = 9, ntyp = 3
/
ATOMIC_SPECIES
In 114.82 In.upf
Cs 132.91 Cs.upf
Pb 207.20 Pb.upf
CELL_PARAMETERS angstrom
-2.504 -2.061 4.395
-0.831 -7.706 -0.673
7.637 -4.938 5.435
ATOMIC_POSITIONS crystal
In 0.278 0.379 0.064
In 0.913 0.536 0.638
In 0.087 0.464 0.362
In 0.722 0.621 0.936
Cs 0.616 0.128 0.640
Cs 0.000 0.000 0.000
Cs 0.384 0.872 0.360
Pb 0.299 0.646 0.759
Pb 0.701 0.354 0.241

***

! La3NdEr2As6 PBE optimized geometry; values from VASP
! Space group ... C2/m, No. 12
! Energy of formation ... -1.531 eV/atom
! D(E_F) ... 1.3 states/eV/cell
! Electronic total energy ... -0.230 Ha/atom
&SYSTEM
  ibrav = 0, nat = 12, ntyp = 4
/
ATOMIC_SPECIES
Er 167.26 Er.upf
As 74.92 As.upf
Nd 144.24 Nd.upf
La 138.91 La.upf
CELL_PARAMETERS angstrom
-5.259 -3.268 4.026
2.915 -3.505 -5.811
5.655 -0.514 4.712
ATOMIC_POSITIONS crystal
Er 0.333 0.667 0.000
Er 0.667 0.333 0.000
As 0.080 0.419 0.239
As 0.581 0.920 0.761
As 0.740 0.740 0.237
As 0.920 0.581 0.761
As 0.260 0.260 0.763
As 0.419 0.080 0.239
Nd 0.000 0.000 0.000
La 0.500 0.500 0.500
La 0.835 0.165 0.500
La 0.165 0.835 0.500